Entry from Alexandria via LeMat-Bulk: a relaxed structure of BaCoS2 (GGA-PBEsol).

Cell: 6.0264 6.0264 6.0264 Å, 109.50 109.50 109.41°
Closest atoms and distances in Å follow each position.
Sites, in units of the cell vectors:
S  0.7580  0.8750  0.3830  2 Co 2.15
S  0.1250  0.5080  0.8830  2 Co 2.15
S  0.4920  0.3750  0.6170  2 Co 2.15
S  0.6250  0.2420  0.1170  2 Co 2.15
Ba  0.0000  0.0000  0.0000  8 S 3.21-3.27, 2 Co 3.48
Ba  0.2500  0.7500  0.5000  8 S 3.21-3.27, 2 Co 3.48
Co  0.7500  0.2500  0.5000  4 S 2.15
Co  0.5000  0.5000  0.0000  4 S 2.15

Results
formation energy (no corrections) = -437 kJ/mol of formula units
calculated volume = 84 Å³/f.u.
space-group type = No. 122

=====

Entry from Alexandria via LeMat-Bulk: a relaxed structure of MgBeSi (GGA-PBEsol).

Cell: 2.7635 2.7635 5.9272 Å, 102.34 102.34 94.78°
Closest atoms and distances in Å follow each position.
Sites, in units of the cell vectors:
Be  0.9865  0.9865  0.9730  4 Si 2.38-2.51
Si  0.3560  0.3560  0.7119  4 Be 2.38-2.51
Mg  0.6575  0.6575  0.3150  4 Be 2.68-2.80, 4 Mg 2.76, 2 Si 2.91

Results
formation energy (no corrections) = 82 kJ/mol of formula units
calculated volume = 43 Å³/f.u.
space-group type = No. 42

=====

Entry from Alexandria via LeMat-Bulk: a relaxed structure of SiICl2 (GGA-PBEsol).

Cell: 3.5605 3.5605 11.4235 Å, 81.03 81.03 60.00°
Closest atoms and distances in Å follow each position.
Sites, in units of the cell vectors:
Cl  0.8790  0.8790  0.3629  3 Si 2.57
Cl  0.1210  0.1210  0.6371  3 Si 2.57
Si  0.5000  0.5000  0.5000  6 Cl 2.57
I  0.0000  0.0000  0.0000  6 I 3.56

Results
formation energy (no corrections) = -92 kJ/mol of formula units
calculated volume = 123 Å³/f.u.
space-group type = No. 166

=====

Entry from Alexandria via LeMat-Bulk: a relaxed structure of BeAlPb2 (GGA-PBEsol).

Cell: 3.3982 3.3978 7.7526 Å, 90.00 90.00 90.00°
Closest atoms and distances in Å follow each position.
Sites, in units of the cell vectors:
Pb  0.0000  0.0000  0.9249  1 Al 2.84, 4 Be 2.99
Pb  0.5000  0.5000  0.3198  1 Be 2.92, 4 Al 3.04
Be  0.5000  0.5000  0.6964  4 Al 2.63, 1 Pb 2.92
Al  0.0000  0.0000  0.5590  4 Be 2.63, 1 Pb 2.84

Results
calculated volume = 90 Å³/f.u.
energy above the most stable polymorph in this dataset = 0.000 eV per atom
space-group type = No. 99

=====

Entry from Alexandria via LeMat-Bulk: a relaxed structure of Li3CoW (GGA-PBEsol).

Cell: 4.7382 4.7382 4.7382 Å, 90.00 90.00 90.00°
Closest atoms and distances in Å follow each position.
Sites, in units of the cell vectors:
Li  0.0000  0.0000  0.5000  2 W 2.37
Li  0.5000  0.0000  0.0000  2 W 2.37
Li  0.0000  0.5000  0.0000  2 W 2.37
Co  0.5000  0.5000  0.5000  12 Li 3.35
W  0.0000  0.0000  0.0000  6 Li 2.37

Results
calculated volume = 106 Å³/f.u.
total energy = -16.72 eV/cell
space-group type = No. 221

=====

Entry from Alexandria via LeMat-Bulk: a relaxed structure of SrMnCd (GGA-PBEsol).

Cell: 4.8845 4.8845 4.8845 Å, 60.00 60.00 60.00°
Closest atoms and distances in Å follow each position.
Sites, in units of the cell vectors:
Cd  0.5000  0.5000  0.5000  4 Mn 2.99
Sr  0.0000  0.0000  0.0000  4 Mn 2.99
Mn  0.2500  0.2500  0.2500  4 Cd 2.99, 4 Sr 2.99

Results
calculated volume = 82 Å³/f.u.
energy above the most stable polymorph in this dataset = 0.231 eV per atom
space-group type = No. 216

=====

- calculated volume of number 2 (MgBeSi)?
  43 Å³/f.u.

=====

- Which value of calculated volume does entry 4 give?
  90 Å³/f.u.

=====

- Among the records above, which one has the lowest calculated volume?
  MgBeSi